[1]
Material: PuRuPtO6
Method: DFT, GGA-PBE
State: optimized geometry

Cell lengths 5.2328, 5.2328, 9.0861 Å; angles 90.00, 90.00, 120.00 degrees
Last column: nearest neighbours and their distance in Å.
Sites, in units of the cell vectors:
1 Pt 0.3333 0.6667 0.2500  6 O 2.09
2 Pt 0.6667 0.3333 0.7500  6 O 2.09
3 O 0.3213 0.9926 0.1220  1 Ru 2.03, 1 Pt 2.09, 1 Pu 2.14
4 O 0.3287 0.3213 0.8780  1 Ru 2.03, 1 Pt 2.09, 1 Pu 2.14
5 O 0.9926 0.6713 0.8780  1 Ru 2.03, 1 Pt 2.09, 1 Pu 2.14
6 O 0.0074 0.6787 0.3780  1 Ru 2.03, 1 Pt 2.09, 1 Pu 2.14
7 O 0.6713 0.9926 0.3780  1 Ru 2.03, 1 Pt 2.09, 1 Pu 2.14
8 O 0.6787 0.6713 0.6220  1 Ru 2.03, 1 Pt 2.09, 1 Pu 2.14
9 O 0.6713 0.6787 0.1220  1 Ru 2.03, 1 Pt 2.09, 1 Pu 2.14
10 O 0.9926 0.3213 0.6220  1 Ru 2.03, 1 Pt 2.09, 1 Pu 2.14
11 O 0.3213 0.3287 0.3780  1 Ru 2.03, 1 Pt 2.09, 1 Pu 2.14
12 O 0.3287 0.0074 0.6220  1 Ru 2.03, 1 Pt 2.09, 1 Pu 2.14
13 O 0.6787 0.0074 0.8780  1 Ru 2.03, 1 Pt 2.09, 1 Pu 2.14
14 O 0.0074 0.3287 0.1220  1 Ru 2.03, 1 Pt 2.09, 1 Pu 2.14
15 Ru 0.0000 0.0000 0.5000  6 O 2.03
16 Ru 0.0000 0.0000 0.0000  6 O 2.03
17 Pu 0.6667 0.3333 0.2500  6 O 2.14
18 Pu 0.3333 0.6667 0.7500  6 O 2.14

Summary:
**Raw formation energy**: -32.77 kcal/mol of atoms
**Uncorrected energy**: -144.4 eV/cell
**SG**: P-31c
**Crystal system**: trigonal

[2]
Material: PuSbPtO6
Method: DFT, GGA-PBE
State: optimized geometry

Cell lengths 5.3827, 5.3827, 9.8841 Å; angles 90.00, 90.00, 120.00 degrees
Last column: nearest neighbours and their distance in Å.
Sites, in units of the cell vectors:
1 O 0.3375 0.9861 0.1330  1 Pt 2.06, 1 Pu 2.16, 1 Sb 2.27
2 O 0.3514 0.0139 0.6330  1 Pt 2.06, 1 Pu 2.16, 1 Sb 2.27
3 O 0.0139 0.6625 0.3670  1 Pt 2.06, 1 Pu 2.16, 1 Sb 2.27
4 O 0.9861 0.3375 0.6330  1 Pt 2.06, 1 Pu 2.16, 1 Sb 2.27
5 O 0.6486 0.6625 0.1330  1 Pt 2.06, 1 Pu 2.16, 1 Sb 2.27
6 O 0.6625 0.0139 0.8670  1 Pt 2.06, 1 Pu 2.16, 1 Sb 2.27
7 O 0.0139 0.3514 0.1330  1 Pt 2.06, 1 Pu 2.16, 1 Sb 2.27
8 O 0.3514 0.3375 0.8670  1 Pt 2.06, 1 Pu 2.16, 1 Sb 2.27
9 O 0.6625 0.6486 0.6330  1 Pt 2.06, 1 Pu 2.16, 1 Sb 2.27
10 O 0.3375 0.3514 0.3670  1 Pt 2.06, 1 Pu 2.16, 1 Sb 2.27
11 O 0.9861 0.6486 0.8670  1 Pt 2.06, 1 Pu 2.16, 1 Sb 2.27
12 O 0.6486 0.9861 0.3670  1 Pt 2.06, 1 Pu 2.16, 1 Sb 2.27
13 Pt 0.3333 0.6667 0.2500  6 O 2.06
14 Pt 0.6667 0.3333 0.7500  6 O 2.06
15 Pu 0.3333 0.6667 0.7500  6 O 2.16
16 Pu 0.6667 0.3333 0.2500  6 O 2.16
17 Sb 0.0000 0.0000 0.5000  6 O 2.27
18 Sb 0.0000 0.0000 0.0000  6 O 2.27

Summary:
**Raw formation energy**: -35.17 kcal/mol of atoms
**Uncorrected energy**: -135.9 eV/cell
**SG**: P-31c
**Crystal system**: trigonal

[3]
Material: PuScPtO6
Method: DFT, GGA-PBE
State: optimized geometry

Cell lengths 5.4280, 5.4280, 8.6910 Å; angles 90.00, 90.00, 120.00 degrees
Last column: nearest neighbours and their distance in Å.
Sites, in units of the cell vectors:
1 O 0.0002 0.6749 0.3751  1 Pt 2.07, 1 Sc 2.13, 1 Pu 2.13
2 O 0.6747 0.6749 0.1249  1 Pt 2.07, 1 Sc 2.13, 1 Pu 2.13
3 O 0.6749 0.0002 0.8751  1 Pt 2.07, 1 Sc 2.13, 1 Pu 2.13
4 O 0.3251 0.9998 0.1249  1 Pt 2.07, 1 Sc 2.13, 1 Pu 2.13
5 O 0.6747 0.9998 0.3751  1 Pt 2.07, 1 Sc 2.13, 1 Pu 2.13
6 O 0.0002 0.3253 0.1249  1 Pt 2.07, 1 Sc 2.13, 1 Pu 2.13
7 O 0.3251 0.3253 0.3751  1 Pt 2.07, 1 Sc 2.13, 1 Pu 2.13
8 O 0.3253 0.3251 0.8751  1 Pt 2.07, 1 Sc 2.13, 1 Pu 2.13
9 O 0.9998 0.6747 0.8751  1 Pt 2.07, 1 Sc 2.13, 1 Pu 2.13
10 O 0.6749 0.6747 0.6249  1 Pt 2.07, 1 Sc 2.13, 1 Pu 2.13
11 O 0.9998 0.3251 0.6249  1 Pt 2.07, 1 Sc 2.13, 1 Pu 2.13
12 O 0.3253 0.0002 0.6249  1 Pt 2.07, 1 Sc 2.13, 1 Pu 2.13
13 Sc 0.3333 0.6667 0.2500  6 O 2.13
14 Sc 0.6667 0.3333 0.7500  6 O 2.13
15 Pt 0.0000 0.0000 0.0000  6 O 2.07
16 Pt 0.0000 0.0000 0.5000  6 O 2.07
17 Pu 0.6667 0.3333 0.2500  6 O 2.13
18 Pu 0.3333 0.6667 0.7500  6 O 2.13

Summary:
**Raw formation energy**: -47.38 kcal/mol of atoms
**Uncorrected energy**: -149.9 eV/cell
**SG**: P-31c
**Crystal system**: trigonal

[4]
Material: SmPuPtO6
Method: DFT, GGA-PBE
State: optimized geometry

Cell lengths 5.3723, 5.3723, 10.3622 Å; angles 90.00, 90.00, 120.00 degrees
Last column: nearest neighbours and their distance in Å.
Sites, in units of the cell vectors:
1 O 0.6430 0.9852 0.3620  1 Pt 2.05, 1 Pu 2.15
2 O 0.9852 0.3423 0.6380  1 Pt 2.05, 1 Pu 2.15
3 O 0.6430 0.6577 0.1380  1 Pt 2.05, 1 Pu 2.15
4 O 0.0148 0.3570 0.1380  1 Pt 2.05, 1 Pu 2.15
5 O 0.6577 0.6430 0.6380  1 Pt 2.05, 1 Pu 2.15
6 O 0.3423 0.3570 0.3620  1 Pt 2.05, 1 Pu 2.15
7 O 0.3570 0.3423 0.8620  1 Pt 2.05, 1 Pu 2.15
8 O 0.3423 0.9852 0.1380  1 Pt 2.05, 1 Pu 2.15
9 O 0.0148 0.6577 0.3620  1 Pt 2.05, 1 Pu 2.15
10 O 0.9852 0.6430 0.8620  1 Pt 2.05, 1 Pu 2.15
11 O 0.3570 0.0148 0.6380  1 Pt 2.05, 1 Pu 2.15
12 O 0.6577 0.0148 0.8620  1 Pt 2.05, 1 Pu 2.15
13 Sm 0.0000 0.0000 0.5000  6 O 2.36
14 Sm 0.0000 0.0000 0.0000  6 O 2.36
15 Pt 0.6667 0.3333 0.7500  6 O 2.05
16 Pt 0.3333 0.6667 0.2500  6 O 2.05
17 Pu 0.6667 0.3333 0.2500  6 O 2.15
18 Pu 0.3333 0.6667 0.7500  6 O 2.15

Summary:
**Raw formation energy**: -50.86 kcal/mol of atoms
**Uncorrected energy**: -149.4 eV/cell
**SG**: P-31c
**Crystal system**: trigonal

[5]
Material: Sr2PuPtO5
Method: DFT, GGA-PBE
State: optimized geometry

Cell lengths 6.1034, 6.5168, 6.5168 Å; angles 90.00, 90.00, 90.00 degrees
Last column: nearest neighbours and their distance in Å.
Sites, in units of the cell vectors:
1 Pt 0.0000 0.0000 0.5000  4 O 1.98
2 Pt 0.0000 0.5000 0.0000  4 O 1.98
3 O 0.7904 0.1646 0.6646  1 Pt 1.98
4 O 0.2096 0.1646 0.6646  1 Pt 1.98
5 O 0.2096 0.8354 0.3354  1 Pt 1.98
6 O 0.7904 0.3354 0.1646  1 Pt 1.98
7 O 0.2096 0.6646 0.8354  1 Pt 1.98
8 O 0.5000 0.5000 0.5000  4 Sr 2.44
9 O 0.5000 0.0000 0.0000  4 Sr 2.44
10 O 0.7904 0.8354 0.3354  1 Pt 1.98
11 O 0.2096 0.3354 0.1646  1 Pt 1.98
12 O 0.7904 0.6646 0.8354  1 Pt 1.98
13 Sr 0.5000 0.6644 0.1644  4 O 2.37-2.44
14 Sr 0.5000 0.3356 0.8356  4 O 2.37-2.44
15 Sr 0.5000 0.1644 0.3356  4 O 2.37-2.44
16 Sr 0.5000 0.8356 0.6644  4 O 2.37-2.44
17 Pu 0.0000 0.0000 0.0000  10 O 2.75-3.05
18 Pu 0.0000 0.5000 0.5000  10 O 2.75-3.05

Summary:
**Raw formation energy**: -46.50 kcal/mol of atoms
**Uncorrected energy**: -133.3 eV/cell
**SG**: P4/mbm
**Crystal system**: tetragonal

[6]
Material: Sr2PuPt3O12
Method: DFT, GGA-PBE
State: optimized geometry

Cell lengths 7.3984, 7.3984, 7.3984 Å; angles 57.33, 57.33, 57.33 degrees
Last column: nearest neighbours and their distance in Å.
Sites, in units of the cell vectors:
1 Pt 0.0000 0.0000 0.5000  6 O 2.00-2.01
2 Pt 0.5000 0.0000 0.0000  6 O 2.00-2.01
3 Pt 0.0000 0.5000 0.0000  6 O 2.00-2.01
4 O 0.0758 0.0758 0.6669  1 Pt 2.00, 1 Pu 2.01
5 O 0.3412 0.3412 0.8949  2 Pt 2.01
6 O 0.3331 0.9242 0.9242  1 Pt 2.00, 1 Pu 2.01
7 O 0.9242 0.9242 0.3331  1 Pt 2.00, 1 Pu 2.01
8 O 0.3412 0.8949 0.3412  2 Pt 2.01
9 O 0.6588 0.6588 0.1051  2 Pt 2.01
10 O 0.9242 0.3331 0.9242  1 Pt 2.00, 1 Pu 2.01
11 O 0.8949 0.3412 0.3412  2 Pt 2.01
12 O 0.0758 0.6669 0.0758  1 Pt 2.00, 1 Pu 2.01
13 O 0.1051 0.6588 0.6588  2 Pt 2.01
14 O 0.6588 0.1051 0.6588  2 Pt 2.01
15 O 0.6669 0.0758 0.0758  1 Pt 2.00, 1 Pu 2.01
16 Sr 0.5934 0.5934 0.5934  3 O 2.59
17 Sr 0.4066 0.4066 0.4066  3 O 2.59
18 Pu 0.0000 0.0000 0.0000  6 O 2.01

Summary:
**Raw formation energy**: -32.54 kcal/mol of atoms
**Uncorrected energy**: -120.7 eV/cell
**SG**: R-3m
**Crystal system**: trigonal

[7]
Material: PuTlPtO6
Method: DFT, GGA-PBE
State: optimized geometry

Cell lengths 5.3070, 5.3070, 12.7336 Å; angles 90.00, 90.00, 120.00 degrees
Last column: nearest neighbours and their distance in Å.
Sites, in units of the cell vectors:
1 O 0.3601 0.9995 0.1614  1 Pt 2.04, 1 Pu 2.04
2 O 0.6399 0.0005 0.8386  1 Pt 2.04, 1 Pu 2.04
3 O 0.9995 0.3601 0.6614  1 Pt 2.04, 1 Pu 2.04
4 O 0.3606 0.0005 0.6614  1 Pt 2.04, 1 Pu 2.04
5 O 0.3606 0.3601 0.8386  1 Pt 2.04, 1 Pu 2.04
6 O 0.6394 0.6399 0.1614  1 Pt 2.04, 1 Pu 2.04
7 O 0.6399 0.6394 0.6614  1 Pt 2.04, 1 Pu 2.04
8 O 0.9995 0.6394 0.8386  1 Pt 2.04, 1 Pu 2.04
9 O 0.6394 0.9995 0.3386  1 Pt 2.04, 1 Pu 2.04
10 O 0.0005 0.6399 0.3386  1 Pt 2.04, 1 Pu 2.04
11 O 0.3601 0.3606 0.3386  1 Pt 2.04, 1 Pu 2.04
12 O 0.0005 0.3606 0.1614  1 Pt 2.04, 1 Pu 2.04
13 Pu 0.3333 0.6667 0.7500  6 O 2.04
14 Pu 0.6667 0.3333 0.2500  6 O 2.04
15 Tl 0.0000 0.0000 0.0000  6 O 2.81
16 Tl 0.0000 0.0000 0.5000  6 O 2.81
17 Pt 0.6667 0.3333 0.7500  6 O 2.04
18 Pt 0.3333 0.6667 0.2500  6 O 2.04

Summary:
**Raw formation energy**: -32.24 kcal/mol of atoms
**Uncorrected energy**: -130.1 eV/cell
**SG**: P-31c
**Crystal system**: trigonal

[8]
Material: Pu3Tl2PtO12
Method: DFT, GGA-PBE
State: optimized geometry

Cell lengths 7.5166, 7.5166, 7.5166 Å; angles 62.91, 62.91, 62.91 degrees
Last column: nearest neighbours and their distance in Å.
Sites, in units of the cell vectors:
1 O 0.0553 0.6818 0.6818  2 Pu 2.10
2 O 0.3182 0.9447 0.3182  2 Pu 2.10
3 O 0.0653 0.6903 0.0653  1 Pu 2.01, 1 Pt 2.01
4 O 0.3097 0.9347 0.9347  1 Pu 2.01, 1 Pt 2.01
5 O 0.9347 0.9347 0.3097  1 Pu 2.01, 1 Pt 2.01
6 O 0.9447 0.3182 0.3182  2 Pu 2.10
7 O 0.0653 0.0653 0.6903  1 Pu 2.01, 1 Pt 2.01
8 O 0.3182 0.3182 0.9447  2 Pu 2.10
9 O 0.9347 0.3097 0.9347  1 Pu 2.01, 1 Pt 2.01
10 O 0.6818 0.6818 0.0553  2 Pu 2.10
11 O 0.6903 0.0653 0.0653  1 Pu 2.01, 1 Pt 2.01
12 O 0.6818 0.0553 0.6818  2 Pu 2.10
13 Tl 0.6543 0.6543 0.6543  6 O 3.11-3.22
14 Tl 0.3457 0.3457 0.3457  6 O 3.11-3.22
15 Pt 0.0000 0.0000 0.0000  6 O 2.01
16 Pu 0.5000 0.0000 0.0000  6 O 2.01-2.10
17 Pu 0.0000 0.0000 0.5000  6 O 2.01-2.10
18 Pu 0.0000 0.5000 0.0000  6 O 2.01-2.10

Summary:
**Raw formation energy**: -43.24 kcal/mol of atoms
**Uncorrected energy**: -147.0 eV/cell
**SG**: R-3m
**Crystal system**: trigonal